(1)
The following is a DFT calculation (PBE) of LaY2Rh after structural relaxation.

Cell lengths 3.5149, 3.5149, 8.9763 Å; angles 90.00, 90.00, 90.00 degrees
Closest atoms and distances in Å follow each position.
Atoms (fractional coordinates):
La  0.0000  0.0000  0.0000  4 La 3.51, 8 Y 3.78
Y  0.5000  0.5000  0.3174  4 Rh 2.98, 1 Y 3.28
Y  0.5000  0.5000  0.6826  4 Rh 2.98, 1 Y 3.28
Rh  0.0000  0.0000  0.5000  8 Y 2.98

Calculated values
total magnetic moment	0.00	Bohr magnetons per cell
energy of formation from the pure elements	-0.40	eV per atom

=====

(2)
The following is a DFT calculation (PBE) of As2RhBrN after structural relaxation.

Cell lengths 4.3700, 4.3700, 4.3020 Å; angles 90.00, 90.00, 90.00 degrees
Closest atoms and distances in Å follow each position.
Atoms (fractional coordinates):
As  0.0000  0.5000  0.0000  2 N 2.18
As  0.5000  0.0000  0.0000  2 N 2.18
Rh  0.0000  0.0000  0.5000  8 As 3.07, 4 Br 3.09
Br  0.5000  0.5000  0.5000  2 N 2.15
N  0.5000  0.5000  0.0000  2 Br 2.15, 4 As 2.18

Calculated values
raw total energy	-4.31	eV/atom
total magnetic moment	0.00	Bohr magnetons per cell

=====

(3)
The following is a DFT calculation (PBE) of NdYPBr after structural relaxation.

Cell lengths 4.0528, 4.0528, 21.9948 Å; angles 90.00, 90.00, 120.00 degrees
Closest atoms and distances in Å follow each position.
Atoms (fractional coordinates):
Nd  0.0000  0.0000  0.0000  3 P 2.84
Nd  0.3333  0.6667  0.6667  3 P 2.84
Nd  0.6667  0.3333  0.3333  3 P 2.84
Y  0.0000  0.0000  0.8013  3 P 2.71
Y  0.3333  0.6667  0.4680  3 P 2.71
Y  0.6667  0.3333  0.1347  3 P 2.71
P  0.0000  0.0000  0.4063  3 Y 2.71, 3 Nd 2.84
P  0.3333  0.6667  0.0730  3 Y 2.71, 3 Nd 2.84
P  0.6667  0.3333  0.7396  3 Y 2.71, 3 Nd 2.84
Br  0.0000  0.0000  0.2301  3 Y 3.14, 3 Nd 3.26
Br  0.3333  0.6667  0.8968  3 Y 3.14, 3 Nd 3.26
Br  0.6667  0.3333  0.5634  3 Y 3.14, 3 Nd 3.26

Calculated values
raw total energy	-6.05	eV/atom
total magnetic moment	0.00	Bohr magnetons per cell

=====

(4)
The following is a DFT calculation (PBE) of TlZnB3 after structural relaxation.

Cell lengths 4.2300, 4.2300, 4.2300 Å; angles 90.00, 90.00, 90.00 degrees
Closest atoms and distances in Å follow each position.
Atoms (fractional coordinates):
Tl  0.0000  0.0000  0.0000  12 B 2.99
Zn  0.5000  0.5000  0.5000  6 B 2.11
B  0.0000  0.5000  0.5000  2 Zn 2.11
B  0.5000  0.0000  0.5000  2 Zn 2.11
B  0.5000  0.5000  0.0000  2 Zn 2.11

Calculated values
total magnetic moment	0.00	Bohr magnetons per cell
energy of formation from the pure elements	1.83	eV per atom

=====

(5)
The following is a DFT calculation (PBE) of Tc2SbPt after structural relaxation.

Cell lengths 9.3215, 2.9994, 4.7485 Å; angles 90.00, 99.00, 90.00 degrees
Closest atoms and distances in Å follow each position.
Atoms (fractional coordinates):
Tc  0.0000  0.0000  0.0000  5 Tc 2.70-3.00, 4 Sb 2.77-2.85, 3 Pt 2.81-2.86
Tc  0.2331  0.5000  0.2095  4 Pt 2.70-2.93, 5 Tc 2.70-3.00, 3 Sb 2.79-2.95
Tc  0.5000  0.5000  0.0000  5 Tc 2.70-3.00, 4 Sb 2.77-2.85, 3 Pt 2.81-2.86
Tc  0.7331  0.0000  0.2095  4 Pt 2.70-2.93, 5 Tc 2.70-3.00, 3 Sb 2.79-2.95
Sb  0.4895  0.0000  0.4858  3 Pt 2.70-2.97, 7 Tc 2.77-2.95, 2 Sb 3.00
Sb  0.9895  0.5000  0.4858  3 Pt 2.70-2.97, 7 Tc 2.77-2.95, 2 Sb 3.00
Pt  0.2518  0.0000  0.7447  7 Tc 2.70-2.93, 3 Sb 2.70-2.97, 2 Pt 3.00
Pt  0.7518  0.5000  0.7447  7 Tc 2.70-2.93, 3 Sb 2.70-2.97, 2 Pt 3.00

Calculated values
raw total energy	-7.63	eV/atom
total magnetic moment	0.00	Bohr magnetons per cell

=====

(6)
The following is a DFT calculation (PBE) of AcIn3Pt3 after structural relaxation.

Cell lengths 7.3496, 7.3496, 7.3496 Å; angles 90.00, 90.00, 90.00 degrees
Closest atoms and distances in Å follow each position.
Atoms (fractional coordinates):
Ac  0.0000  0.0000  0.0000  12 In 4.11, 12 Pt 4.11
Ac  0.5000  0.5000  0.5000  12 In 4.11, 12 Pt 4.11
In  0.0000  0.2500  0.5000  4 Pt 2.60
In  0.0000  0.7500  0.5000  4 Pt 2.60
In  0.2500  0.5000  0.0000  4 Pt 2.60
In  0.5000  0.0000  0.2500  4 Pt 2.60
In  0.5000  0.0000  0.7500  4 Pt 2.60
In  0.7500  0.5000  0.0000  4 Pt 2.60
Pt  0.0000  0.5000  0.2500  4 In 2.60
Pt  0.0000  0.5000  0.7500  4 In 2.60
Pt  0.2500  0.0000  0.5000  4 In 2.60
Pt  0.5000  0.2500  0.0000  4 In 2.60
Pt  0.5000  0.7500  0.0000  4 In 2.60
Pt  0.7500  0.0000  0.5000  4 In 2.60

Calculated values
total magnetic moment	0.00	Bohr magnetons per cell
energy of formation from the pure elements	-0.27	eV per atom

=====

(7)
The following is a DFT calculation (PBE) of TbNi3B after structural relaxation.

Cell lengths 5.6277, 5.6277, 9.3799 Å; angles 90.00, 90.00, 120.00 degrees
Closest atoms and distances in Å follow each position.
Atoms (fractional coordinates):
Tb  0.0000  0.0000  0.0000  12 Ni 2.79-2.81
Tb  0.0000  0.0000  0.5000  12 Ni 2.79-2.81
Tb  0.3333  0.6667  0.2500  12 Ni 2.82-2.85
Tb  0.6667  0.3333  0.7500  12 Ni 2.82-2.85
Ni  0.0000  0.5000  0.0000  2 B 2.09
Ni  0.0000  0.5000  0.5000  2 B 2.09
Ni  0.1552  0.3104  0.7500  2 B 2.02
Ni  0.1552  0.8448  0.7500  2 B 2.02
Ni  0.3104  0.1552  0.2500  2 B 2.02
Ni  0.5000  0.0000  0.0000  2 B 2.09
Ni  0.5000  0.0000  0.5000  2 B 2.09
Ni  0.5000  0.5000  0.0000  2 B 2.09
Ni  0.5000  0.5000  0.5000  2 B 2.09
Ni  0.6896  0.8448  0.7500  2 B 2.02
Ni  0.8448  0.1552  0.2500  2 B 2.02
Ni  0.8448  0.6896  0.2500  2 B 2.02
B  0.3333  0.6667  0.6403  6 Ni 2.02-2.09, 1 B 2.06
B  0.3333  0.6667  0.8597  6 Ni 2.02-2.09, 1 B 2.06
B  0.6667  0.3333  0.1403  6 Ni 2.02-2.09, 1 B 2.06
B  0.6667  0.3333  0.3597  6 Ni 2.02-2.09, 1 B 2.06

Calculated values
total magnetic moment	0.00	Bohr magnetons per cell
energy of formation from the pure elements	-0.37	eV per atom

=====

(8)
The following is a DFT calculation (PBE) of MnAl3Pt after structural relaxation.

Cell lengths 4.7528, 4.7528, 4.7528 Å; angles 90.00, 90.00, 90.00 degrees
Closest atoms and distances in Å follow each position.
Atoms (fractional coordinates):
Mn  0.0000  0.0000  0.0000  12 Al 3.36
Al  0.0000  0.5000  0.5000  2 Pt 2.38
Al  0.5000  0.0000  0.5000  2 Pt 2.38
Al  0.5000  0.5000  0.0000  2 Pt 2.38
Pt  0.5000  0.5000  0.5000  6 Al 2.38

Calculated values
total magnetic moment	4.21	Bohr magnetons per cell
energy of formation from the pure elements	0.13	eV per atom